# Tl2FeSnO4 GGA+U relaxed
data_Tl2FeSnO4
_cell_length_a 5.6216
_cell_length_b 5.9338
_cell_length_c 5.9643
_cell_angle_alpha 61.60
_cell_angle_beta 61.92
_cell_angle_gamma 63.62
_symmetry_space_group_name_H-M 'P 1'
_symmetry_Int_Tables_number 1
_symmetry_space_group_name_Hall 'P 1'
loop_
_atom_site_label
_atom_site_fract_x
_atom_site_fract_y
_atom_site_fract_z
Tl1 0.0000 0.0000 0.0000
Tl2 0.2358 0.2695 0.2522
Fe1 0.5179 0.5068 0.5002
Sn1 0.7750 0.7559 0.7436
O1 0.1279 0.5808 0.5054
O2 0.4486 0.7133 0.7359
O3 0.7689 0.1345 0.6239
O4 0.7912 0.6265 0.1142
# - Raw total energy: -5.397 eV per atom
# - Total magnetization: 4.00 μB per formula unit